GdBPd3, relaxed, DFT PBE; symmetry = No. 221; formation energy from the elements = -0.597 eV/atom; magnetic moment = 7.16 Bohr magnetons per cell; total DFT energy (no corrections) = -7.865 eV per atom; N(E_F) = 4.3 states/eV per cell
1.0
-1.3258 1.7961 -3.7193
2.3343 -2.8967 -2.2310
-3.4074 -2.6833 -0.0812
Pd Gd B
3 1 1
Direct
0.0000 0.5000 0.5000
0.5000 0.5000 0.0000
0.5000 0.0000 0.5000
0.0000 0.0000 0.0000
0.5000 0.5000 0.5000